Ba3NiSbRuO9 | PBE+U | relaxed

a = 5.8789 Å, b = 5.8789 Å, c = 14.4928 Å
α = 90.00°, β = 90.00°, γ = 120.00°
With the nearest neighbours (Å) after each atom.
Positions (direct):
Ba: 0.0000 0.0000 0.2495  12 O 2.93-3.01
Ba: 0.0000 0.0000 0.7505  12 O 2.93-3.01
Ba: 0.3333 0.6667 0.0856  12 O 2.94-3.07
Ba: 0.3333 0.6667 0.4093  12 O 2.93-2.98
Ba: 0.6667 0.3333 0.5907  12 O 2.93-2.98
Ba: 0.6667 0.3333 0.9144  12 O 2.94-3.07
Ni: 0.0000 0.0000 0.0000  6 O 2.11
Ni: 0.0000 0.0000 0.5000  6 O 2.10
Sb: 0.3333 0.6667 0.8443  6 O 1.96-2.08
Sb: 0.6667 0.3333 0.1557  6 O 1.96-2.08
Ru: 0.3333 0.6667 0.6492  6 O 1.93-2.08
Ru: 0.6667 0.3333 0.3508  6 O 1.93-2.08
O: 0.0340 0.5170 0.7466  1 Ru 2.08, 1 Sb 2.08
O: 0.1684 0.3368 0.9147  1 Sb 1.96, 1 Ni 2.11
O: 0.1684 0.8316 0.9147  1 Sb 1.96, 1 Ni 2.11
O: 0.1711 0.3421 0.5808  1 Ru 1.93, 1 Ni 2.10
O: 0.1711 0.8289 0.5808  1 Ru 1.93, 1 Ni 2.10
O: 0.3368 0.1684 0.0853  1 Sb 1.96, 1 Ni 2.11
O: 0.3421 0.1711 0.4192  1 Ru 1.93, 1 Ni 2.10
O: 0.4830 0.5170 0.7466  1 Ru 2.08, 1 Sb 2.08
O: 0.4830 0.9660 0.7466  1 Ru 2.08, 1 Sb 2.08
O: 0.5170 0.0340 0.2534  1 Ru 2.08, 1 Sb 2.08
O: 0.5170 0.4830 0.2534  1 Ru 2.08, 1 Sb 2.08
O: 0.6579 0.8289 0.5808  1 Ru 1.93, 1 Ni 2.10
O: 0.6632 0.8316 0.9147  1 Sb 1.96, 1 Ni 2.11
O: 0.8289 0.1711 0.4192  1 Ru 1.93, 1 Ni 2.10
O: 0.8289 0.6579 0.4192  1 Ru 1.93, 1 Ni 2.10
O: 0.8316 0.1684 0.0853  1 Sb 1.96, 1 Ni 2.11
O: 0.8316 0.6632 0.0853  1 Sb 1.96, 1 Ni 2.11
O: 0.9660 0.4830 0.2534  1 Ru 2.08, 1 Sb 2.08

Its density is 6412 kg/m³. Its total energy is -6.3316 eV per atom.